Record 1
Material: PrErOs
Method: DFT, PBE
State: optimized geometry

Output
ΔE_f = 0.69 eV per atom
total magnetic moment = 0.0008 μB/atom
space-group type = F-43m, No. 216

```
PrErOs
1.0
0.0000 3.3678 3.3678
3.3678 0.0000 3.3678
3.3678 3.3678 0.0000
Pr Er Os
1 1 1
Cartesian
0.0000 0.0000 0.0000 Pr
5.0518 5.0518 5.0518 Er
3.3678 3.3678 3.3678 Os
```

Record 2
Material: PrErSi4Os2
Method: DFT, PBE
State: optimized geometry

Output
energy = -59.24 eV/cell
total magnetic moment = 0.0003 μB/atom
space-group type = Pm, No. 6

```
PrErSi4Os2
1.0
4.4623 0.0000 0.0000
0.0000 4.1210 0.0000
-1.7072 0.0000 8.0146
Pr Er Si Os
1 1 4 2
Cartesian
0.0000 0.0000 0.0000 Pr
0.1103 2.0605 3.2454 Er
-0.0713 0.0000 5.5243 Si
2.2536 2.0605 0.8669 Si
2.2814 0.0000 2.3164 Si
2.8978 2.0605 5.6110 Si
0.6912 2.0605 6.4940 Os
2.1241 0.0000 4.6543 Os
```

Record 3
Material: PrEr2Tm3Te2Os
Method: DFT, PBE
State: optimized geometry

Output
energy = -51.49 eV/cell
total magnetic moment = 0.0040 μB/atom
space-group type = Amm2, No. 38

```
PrEr2Tm3Te2Os
1.0
4.0730 0.0000 0.0000
0.0000 7.0990 4.1882
0.0000 -7.0990 4.1882
Pr Er Tm Te Os
1 2 3 2 1
Cartesian
0.0000 0.0000 0.0000 Pr
0.0000 -2.7305 4.9995 Er
0.0000 2.7305 4.9995 Er
2.0365 -1.6296 2.3982 Tm
2.0365 1.6296 2.3982 Tm
2.0365 0.0000 5.4236 Tm
2.0365 -4.6628 3.3602 Te
2.0365 4.6628 3.3602 Te
0.0000 0.0000 3.5919 Os
```